Below is NaHgPb2Au at its PBEsol-relaxed geometry, with properties calculated at the SCAN level.

Space group = P4/mmm
Total energy = -58.206 eV/atom
Magnetic moment = 0.00 μB/cell
Energy of formation from the pure elements = 2.1 eV per formula unit

Cell: 5.5637 5.5637 5.2580 Å, 90.00 90.00 90.00°
Fractional positions:
Na1 0.0000 0.0000 0.0000
Hg1 0.0000 0.0000 0.5000
Pb1 0.0000 0.5000 0.5000
Pb2 0.5000 0.0000 0.5000
Au1 0.5000 0.5000 0.0000

Below is KNiPS4 at its PBEsol-relaxed geometry, with properties calculated at the SCAN level.

Space group = P4_2/mnm
ΔE_f (raw) = -0.743 eV per atom
Total energy = -11.231 eV/atom
Magnetic moment = 0.36 μB/cell

Cell: 8.2634 8.2634 10.6405 Å, 90.00 90.00 90.00°
Fractional positions:
K1 0.0000 0.5000 0.2500
K2 0.0000 0.5000 0.7500
K3 0.5000 0.0000 0.2500
K4 0.5000 0.0000 0.7500
Ni1 0.0000 0.0000 0.0000
Ni2 0.0000 0.0000 0.5000
Ni3 0.5000 0.5000 0.0000
Ni4 0.5000 0.5000 0.5000
P1 0.2493 0.2493 0.0000
P2 0.2507 0.7493 0.5000
P3 0.7493 0.2507 0.5000
P4 0.7507 0.7507 0.0000
S1 0.0033 0.7367 0.5000
S2 0.1334 0.1334 0.1437
S3 0.1334 0.1334 0.8563
S4 0.2367 0.4967 0.0000
S5 0.2633 0.9967 0.5000
S6 0.3666 0.6334 0.3563
S7 0.3666 0.6334 0.6437
S8 0.4967 0.2367 0.0000
S9 0.5033 0.7633 0.0000
S10 0.6334 0.3666 0.3563
S11 0.6334 0.3666 0.6437
S12 0.7367 0.0033 0.5000
S13 0.7633 0.5033 0.0000
S14 0.8666 0.8666 0.1437
S15 0.8666 0.8666 0.8563
S16 0.9967 0.2633 0.5000